Entry 1:
3
Lattice="0.0000 3.3912 3.3912 3.3912 0.0000 3.3912 3.3912 3.3912 0.0000" Properties=species:S:1:pos:R:3 comment="DyPuRh | the Alexandria database | PBE | optimized geometry" dos_ef_per_ev_atom=3.58 magnetic_moment_mub_per_fu=5.82 crystal_system=cubic delta_e_f_mev_per_atom=-326 relative_energy_mev_per_atom=26 spacegroup="No. 216" pbc="T T T"
Dy 0.0000 0.0000 0.0000
Pu 3.3912 3.3912 3.3912
Rh 1.6956 1.6956 1.6956

Entry 2:
9
Lattice="6.3698 0.0000 0.0000 -3.1849 5.5164 0.0000 0.0000 0.0000 9.0587" Properties=species:S:1:pos:R:3 comment="La7Ho2 | the Alexandria database | PBE | optimized geometry" dos_ef_per_ev_atom=1.77 magnetic_moment_mub_per_fu=0.00 crystal_system=trigonal delta_e_f_mev_per_atom=20 spacegroup="No. 162" pbc="T T T"
La 0.0000 0.0000 0.0000
La -1.0621 1.8396 6.0710
La -2.1228 3.6769 2.9878
La 2.1241 0.0000 6.0710
La 1.0621 1.8396 2.9878
La 4.2457 0.0000 2.9878
La 2.1228 3.6769 6.0710
Ho 0.0000 3.6776 0.0000
Ho 3.1849 1.8388 0.0000

Entry 3:
8
Lattice="7.3219 0.0000 0.0000 0.0000 4.2320 0.0000 -2.4401 0.0000 6.9050" Properties=species:S:1:pos:R:3 comment="Pm2PrYAs4 | the Alexandria database | PBE | optimized geometry" dos_ef_per_ev_atom=0.09 magnetic_moment_mub_per_fu=0.00 crystal_system=monoclinic delta_e_f_mev_per_atom=-1521 spacegroup="No. 10" pbc="T T T"
Pm 0.0000 0.0000 0.0000
Pm 3.6610 2.1160 0.0000
Pr -1.2201 2.1160 3.4525
Y 2.4409 0.0000 3.4525
As 0.0355 0.0000 5.1824
As 1.2547 2.1160 1.7466
As 3.6271 2.1160 5.1584
As 4.8463 0.0000 1.7226

Entry 4:
5
Lattice="6.4325 0.0000 0.0000 0.0000 6.4325 0.0000 0.0000 0.0000 3.7084" Properties=species:S:1:pos:R:3 comment="K2AgPtN | the Alexandria database | PBE | optimized geometry" dos_ef_per_ev_atom=0.71 magnetic_moment_mub_per_fu=0.00 crystal_system=tetragonal relative_energy_mev_per_atom=108 raw_formation_energy_ev_per_atom=0.058 spacegroup="No. 123" pbc="T T T"
K 0.0000 3.2162 0.0000
K 3.2162 0.0000 0.0000
Ag 0.0000 0.0000 1.8542
Pt 3.2162 3.2162 0.0000
N 3.2162 3.2162 1.8542

Entry 5:
13
Lattice="4.4382 -3.1293 0.0000 4.4382 3.1293 0.0000 -0.0310 0.0000 8.7289" Properties=species:S:1:pos:R:3 comment="HfMo8W4 | the Alexandria database | PBE | optimized geometry" dos_ef_per_ev_atom=0.95 magnetic_moment_mub_per_fu=0.00 crystal_system=monoclinic delta_e_f_mev_per_atom=554 spacegroup="No. 12" pbc="T T T"
Hf 0.0000 0.0000 0.0000
Mo 2.1682 0.0000 2.0981
Mo 2.1667 0.0000 6.6351
Mo 4.4214 1.5177 2.1740
Mo 4.4240 1.5177 6.5550
Mo 4.4214 -1.5177 2.1740
Mo 4.4240 -1.5177 6.5550
Mo 6.6788 0.0000 2.0938
Mo 6.6772 0.0000 6.6308
W -0.0155 0.0000 4.3645
W 2.2036 1.5646 4.3645
W 2.2036 -1.5646 4.3645
W 4.4227 0.0000 4.3645